First-principles (GGA-PBE) data for a geometry-optimized NpSnS2 structure, as listed in the Alexandria database.

abc: 3.906 3.906 25.933
angles: 90.00 90.00 120.00
Positions (direct):
Np 0.000 0.000 0.000
Np 0.333 0.667 0.667
Np 0.667 0.333 0.333
Sn 0.000 0.000 0.500
Sn 0.333 0.667 0.167
Sn 0.667 0.333 0.833
S 0.000 0.000 0.391
S 0.000 0.000 0.609
S 0.333 0.667 0.057
S 0.333 0.667 0.276
S 0.667 0.333 0.724
S 0.667 0.333 0.943


First-principles (GGA-PBE) data for a geometry-optimized Np3Tl2SnS8 structure, as listed in the Alexandria database.

abc: 9.041 9.041 9.041
angles: 52.78 52.78 52.78
Positions (direct):
Np 0.003 0.498 0.498
Np 0.498 0.003 0.498
Np 0.498 0.498 0.003
Tl 0.129 0.129 0.129
Tl 0.492 0.492 0.492
Sn 0.889 0.889 0.889
S 0.242 0.242 0.700
S 0.242 0.700 0.242
S 0.273 0.273 0.273
S 0.280 0.766 0.766
S 0.700 0.242 0.242
S 0.724 0.724 0.724
S 0.766 0.280 0.766
S 0.766 0.766 0.280


First-principles (GGA-PBE) data for a geometry-optimized NpTlSnS3 structure, as listed in the Alexandria database.

abc: 8.898 4.013 9.613
angles: 90.00 92.86 90.00
Positions (direct):
Np 0.134 0.250 0.142
Np 0.866 0.750 0.858
Tl 0.339 0.750 0.813
Tl 0.661 0.250 0.187
Sn 0.353 0.750 0.421
Sn 0.647 0.250 0.579
S 0.075 0.250 0.861
S 0.164 0.250 0.427
S 0.347 0.750 0.139
S 0.653 0.250 0.861
S 0.836 0.750 0.573
S 0.925 0.750 0.139


First-principles (GGA-PBE) data for a geometry-optimized Np3Tl3SnS8 structure, as listed in the Alexandria database.

abc: 8.759 8.759 8.759
angles: 55.50 55.50 55.50
Positions (direct):
Np 0.000 0.500 0.500
Np 0.500 0.000 0.500
Np 0.500 0.500 0.000
Tl 0.000 0.000 0.500
Tl 0.000 0.500 0.000
Tl 0.500 0.000 0.000
Sn 0.000 0.000 0.000
S 0.240 0.240 0.713
S 0.240 0.713 0.240
S 0.269 0.269 0.269
S 0.287 0.760 0.760
S 0.713 0.240 0.240
S 0.731 0.731 0.731
S 0.760 0.287 0.760
S 0.760 0.760 0.287


First-principles (GGA-PBE) data for a geometry-optimized NpTl3Sn2S6 structure, as listed in the Alexandria database.

abc: 7.188 7.188 7.657
angles: 98.89 98.89 119.63
Positions (direct):
Np 0.000 0.000 0.000
Tl 0.169 0.831 0.500
Tl 0.500 0.500 0.500
Tl 0.831 0.169 0.500
Sn 0.333 0.667 0.000
Sn 0.667 0.333 0.000
S 0.064 0.371 0.196
S 0.236 0.236 0.794
S 0.371 0.064 0.196
S 0.629 0.936 0.804
S 0.764 0.764 0.206
S 0.936 0.629 0.804


First-principles (GGA-PBE) data for a geometry-optimized NpTl2SnS4 structure, as listed in the Alexandria database.

abc: 7.233 4.101 7.716
angles: 90.00 107.43 90.00
Positions (direct):
Np 0.000 0.000 0.000
Tl 0.000 0.500 0.500
Tl 0.500 0.000 0.500
Sn 0.500 0.500 0.000
S 0.217 0.500 0.196
S 0.244 0.000 0.800
S 0.756 0.000 0.200
S 0.783 0.500 0.804


First-principles (GGA-PBE) data for a geometry-optimized SrNpS3 structure, as listed in the Alexandria database.

abc: 7.518 7.518 8.146
angles: 97.68 97.68 39.20
Positions (direct):
Sr 0.137 0.137 0.366
Sr 0.863 0.863 0.634
Np 0.367 0.367 0.084
Np 0.633 0.633 0.916
S 0.171 0.171 0.990
S 0.341 0.341 0.395
S 0.446 0.446 0.803
S 0.554 0.554 0.197
S 0.659 0.659 0.605
S 0.829 0.829 0.010


First-principles (GGA-PBE) data for a geometry-optimized SrNpS3 structure, as listed in the Alexandria database.

abc: 7.518 4.107 15.614
angles: 90.00 90.00 90.00
Positions (direct):
Sr 0.126 0.250 0.205
Sr 0.374 0.750 0.705
Sr 0.626 0.250 0.295
Sr 0.874 0.750 0.795
Np 0.230 0.750 0.459
Np 0.270 0.250 0.959
Np 0.730 0.750 0.041
Np 0.770 0.250 0.541
S 0.012 0.250 0.407
S 0.132 0.750 0.051
S 0.167 0.250 0.794
S 0.333 0.750 0.294
S 0.368 0.250 0.551
S 0.488 0.750 0.907
S 0.512 0.250 0.093
S 0.632 0.750 0.449
S 0.667 0.250 0.706
S 0.833 0.750 0.206
S 0.868 0.250 0.949
S 0.988 0.750 0.593


Calculated values (eV per atom) of energy relative to the elements, uncorrected for the records, taken in order: -0.844 -0.941 -0.791 -0.929 -0.644 -0.743 -1.542 -1.628.
Calculated values (eV per formula unit) of energy for the records, taken in order: -28.57 -93.75 -36.44 -96.88 -60.54 -44.13 -34.71 -35.14.
Calculated values (μB per formula unit) of M_tot for the records, taken in order: 3.717 9.000 3.824 9.998 1.998 2.997 3.000 3.000.